Density functional theory data (GGA-PBE) for a geometry-optimized ZnMo2RuRh structure.

Output
DOS(E_F)   3.40 states/eV per cell
Size of the total moment   0.00 μB per cell
ΔE_f   1.608 eV/atom
Volume   17.62 Å³/atom

Lattice parameters (Å, degrees): 4.4938 4.3638 4.4938 90.00 90.00 90.00
Closest atoms and distances in Å follow each position.
Sites, in units of the cell vectors:
1 Ru 0.5000 0.5000 0.5000  8 Mo 3.13, 4 Rh 3.18
2 Mo 0.0000 0.0000 0.5000  2 Zn 2.25
3 Mo 0.5000 0.0000 0.0000  2 Zn 2.25
4 Rh 0.0000 0.5000 0.0000  2 Zn 2.18
5 Zn 0.0000 0.0000 0.0000  2 Rh 2.18, 4 Mo 2.25

=====

Density functional theory data (GGA-PBE) for a geometry-optimized ScP2CCl structure.

Output
DOS(E_F)   6.17 states/eV per cell
Size of the total moment   0.20 μB per cell
Volume   24.22 Å³/atom
Excess energy over the best structure of this formula in the dataset   1036 meV per atom

Lattice parameters (Å, degrees): 5.0544 5.0544 4.7397 90.00 90.00 90.00
Closest atoms and distances in Å follow each position.
Sites, in units of the cell vectors:
1 Sc 0.0000 0.0000 0.0000  2 Cl 2.37, 4 P 2.53
2 P 0.0000 0.5000 0.0000  2 Sc 2.53
3 P 0.5000 0.0000 0.0000  2 Sc 2.53
4 C 0.5000 0.5000 0.5000  8 P 3.46, 4 Cl 3.57
5 Cl 0.0000 0.0000 0.5000  2 Sc 2.37

=====

Density functional theory data (GGA-PBE) for a geometry-optimized Hf2NiPdAu2 structure.

Output
DOS(E_F)   7.42 states/eV per cell
Size of the total moment   0.00 μB per cell
ΔE_f   -0.466 eV/atom
Volume   17.95 Å³/atom

Lattice parameters (Å, degrees): 5.6393 5.6413 7.8579 111.04 111.03 90.00
Closest atoms and distances in Å follow each position.
Sites, in units of the cell vectors:
1 Hf 0.3468 0.6031 0.6936  5 Au 2.77-2.89, 2 Pd 2.86, 2 Ni 2.90
2 Hf 0.6532 0.3969 0.3064  5 Au 2.77-2.89, 2 Pd 2.86, 2 Ni 2.90
3 Hf 0.1532 0.9095 0.3064  5 Au 2.77-2.89, 2 Pd 2.86, 2 Ni 2.90
4 Hf 0.8468 0.0905 0.6936  5 Au 2.77-2.89, 2 Pd 2.86, 2 Ni 2.90
5 Ni 0.7500 0.5000 0.0000  4 Au 2.71, 2 Ni 2.82, 2 Pd 2.82, 4 Hf 2.90
6 Ni 0.2500 0.5000 0.0000  4 Au 2.71, 2 Ni 2.82, 2 Pd 2.82, 4 Hf 2.90
7 Pd 0.2500 0.0000 0.0000  4 Au 2.81, 2 Pd 2.82, 2 Ni 2.82, 4 Hf 2.86
8 Pd 0.7500 0.0000 0.0000  4 Au 2.81, 2 Pd 2.82, 2 Ni 2.82, 4 Hf 2.86
9 Au 0.6408 0.8739 0.2817  2 Ni 2.71, 5 Hf 2.77-2.89, 2 Pd 2.81
10 Au 0.1408 0.4078 0.2817  2 Ni 2.71, 5 Hf 2.77-2.89, 2 Pd 2.81
11 Au 0.8592 0.5922 0.7183  2 Ni 2.71, 5 Hf 2.77-2.89, 2 Pd 2.81
12 Au 0.3592 0.1261 0.7183  2 Ni 2.71, 5 Hf 2.77-2.89, 2 Pd 2.81